AcPm2Ho5Tm | PBE | relaxed

Properties
* formation energy from the elements: 0.267 eV/atom
* total energy: -4.29 eV per atom
* space group: I4/mcm, No. 140

Lattice parameters (Å, degrees): 8.849 8.849 9.927 116.47 116.47 90.00
Fractional positions:
Ho 0.662 0.162 0.735
Ho 0.838 0.926 0.265
Ho 0.000 0.000 0.000
Ho 0.426 0.338 0.265
Ho 0.162 0.074 0.735
Ho 0.574 0.662 0.735
Ho 0.074 0.574 0.735
Ho 0.338 0.838 0.265
Ho 0.926 0.426 0.265
Ho 0.500 0.500 0.000
Tm 0.750 0.250 0.500
Tm 0.250 0.750 0.500
Pm 0.116 0.384 0.000
Pm 0.884 0.616 0.000
Pm 0.616 0.116 0.000
Pm 0.384 0.884 0.000
Ac 0.250 0.250 0.500
Ac 0.750 0.750 0.500